Compound: AlSn3
Source: Alexandria
Functional: PBE
Structure: optimized geometry

Cell and atoms, written as extended XYZ:
```
4
Lattice="-1.7114 4.3133 0.5350 -4.3256 -1.6343 -0.6613 -0.4235 -0.7377 4.5930" Properties=species:S:1:pos:R:3 pbc="T T T"
Sn -2.3745 -1.1860 1.9658
Sn -1.0674 1.7878 2.5640
Sn -3.0185 1.3395 -0.0632
Al 0.0000 0.0000 0.0000
```

Summary:
Raw total energy: -15.1 eV per cell
Mass density: 6.24 Mg/m³
ΔE_f: 0.167 eV per atom



Compound: HfUMn2
Source: Alexandria
Functional: PBE
Structure: optimized geometry

Cell and atoms, written as extended XYZ:
```
4
Lattice="3.1348 0.0000 0.0000 0.0000 4.5682 0.0000 0.0000 0.0000 4.5682" Properties=species:S:1:pos:R:3 pbc="T T T"
Mn 0.0000 0.0000 2.2841
Mn 0.0000 2.2841 0.0000
Hf 1.5674 2.2841 2.2841
U 1.5674 0.0000 0.0000
```

Summary:
Raw total energy: -39.5 eV per cell
Mass density: 13.36 Mg/m³
ΔE_f: 0.032 eV per atom



Compound: AlSbRu2
Source: Alexandria
Functional: PBE
Structure: optimized geometry

Cell and atoms, written as extended XYZ:
```
4
Lattice="-2.3004 1.6367 -1.3707 -1.7458 -0.2824 2.5926 2.4398 5.2874 2.2189" Properties=species:S:1:pos:R:3 pbc="T T T"
Ru 2.4165 5.2370 2.1978
Ru 1.2431 2.6940 1.1306
Al -0.1933 4.6427 2.2751
Sb -1.4132 1.9990 1.1657
```

Summary:
Raw total energy: -27.7 eV per cell
Formation energy (no corrections): -30.8 kJ/mol of atoms
Mass density: 9.49 Mg/m³



Compound: Sr2HgP
Source: Alexandria
Functional: PBE
Structure: optimized geometry

Cell and atoms, written as extended XYZ:
```
4
Lattice="5.2389 0.0000 0.0000 0.0000 5.2389 0.0000 0.0000 0.0000 4.1596" Properties=species:S:1:pos:R:3 pbc="T T T"
Sr 0.0000 2.6194 0.0000
Sr 2.6194 0.0000 0.0000
Hg 0.0000 0.0000 2.0798
P 2.6194 2.6194 2.0798
```

Summary:
Raw total energy: -11.9 eV per cell
Polymorph energy (0 for the lowest one): 116 meV/atom
Mass density: 5.92 Mg/m³
ΔE_f: -0.702 eV per atom